Here is CuSiAu2 after structural relaxation from Alexandria via LeMat-Bulk. Energies are from PBE.

The structure in extended XYZ format:
```
4
Lattice="-1.707 -3.365 -0.578 2.701 -1.955 3.400 -3.089 3.582 1.177" Properties=species:S:1:pos:R:3 pbc="T T T"
Au -1.329 0.579 0.578
Au -1.422 -1.842 2.595
Cu -3.559 1.622 1.371
Si 0.867 -2.927 1.877
```

---

Here is Cu6SiAu2 after structural relaxation from Alexandria via LeMat-Bulk. Energies are from PBE.

Values from the calculation:
The value obtained for the relative energy among the computed polymorphs is 27 meV/atom.

The structure in extended XYZ format:
```
9
Lattice="-2.136 2.767 -1.759 -2.990 1.064 5.307 1.989 4.156 4.125" Properties=species:S:1:pos:R:3 pbc="T T T"
Au -1.298 2.584 1.290
Au -1.840 5.404 6.384
Cu -1.665 2.702 6.274
Cu -0.395 4.723 3.558
Cu -2.743 3.265 4.115
Cu -3.522 4.014 1.886
Cu -1.473 5.286 1.400
Cu 0.384 3.974 5.787
Si 0.000 0.000 0.000
```

---

Here is CuSi2Au after structural relaxation from Alexandria via LeMat-Bulk. Energies are from PBE.

Values from the calculation:
The value obtained for the relative energy among the computed polymorphs is 127 meV/atom.

The structure in extended XYZ format:
```
4
Lattice="7.656 -0.007 -0.004 7.040 3.008 -0.004 7.040 1.437 2.642" Properties=species:S:1:pos:R:3 pbc="T T T"
Si 0.043 0.009 0.005
Si 5.513 1.126 0.668
Cu 16.123 3.292 1.953
Au 10.926 2.231 1.324
```

---

Here is CuSiAu3 after structural relaxation from Alexandria via LeMat-Bulk. Energies are from PBE.

Values from the calculation:
The value obtained for the relative energy among the computed polymorphs is 67 meV/atom.

The structure in extended XYZ format:
```
10
Lattice="-2.756 -0.124 1.215 3.260 -2.068 7.184 1.969 6.067 5.083" Properties=species:S:1:pos:R:3 pbc="T T T"
Au 0.950 1.690 5.058
Au -0.337 -1.055 5.577
Au 1.074 0.961 8.983
Au -0.714 0.417 1.152
Au 0.562 4.189 8.150
Au 2.146 1.775 11.496
Cu -1.264 0.990 3.713
Cu 2.732 3.046 9.218
Si 1.100 4.096 5.619
Si 1.751 -0.003 6.677
```

---

no.,calculated total energy (eV/atom),magnetic moment (μB per formula unit),E_form (uncorrected) (eV/f.u.)
1,-4.013,0.00,0.0
2,-3.982,0.00,0.7
3,-4.411,0.00,0.6
4,-3.779,0.00,0.5